DFT (PBE with a Hubbard U) results for a relaxed TlPbWF6 crystal.

```
18
Lattice="6.374 0.000 0.000 -3.187 5.520 0.000 0.000 0.000 10.628" Properties=species:S:1:pos:R:3 pbc="T T T"
Tl 0.000 0.000 0.000
Tl 0.000 0.000 5.314
Pb 0.000 3.680 2.657
Pb 3.187 1.840 7.971
W 0.000 3.680 7.971
W 3.187 1.840 2.657
F -0.975 2.151 6.854
F -1.812 3.600 9.088
F 0.975 2.151 9.088
F -0.837 5.289 6.854
F 2.350 0.231 1.540
F 1.375 1.920 3.774
F 1.812 3.600 6.854
F 0.837 5.289 9.088
F 4.023 0.231 3.774
F 2.211 3.369 1.540
F 4.999 1.920 1.540
F 4.162 3.369 3.774
```

Values from the calculation:
* SG: No. 163
* energy: -5.07 eV per atom